First-principles (GGA-PBE) data for a geometry-optimized MgP2Pt structure, as listed in the Alexandria database.

Unit cell a=3.7252 b=3.7252 c=6.1677 alpha=72.42 beta=72.42 gamma=60.25
Fractional positions:
1 P 0.4840 0.4840 0.5464
2 P 0.0160 0.0160 0.9536
3 Pt 0.7500 0.7500 0.7500
4 Mg 0.2500 0.2500 0.2500

As for the formation energy: -0.381 eV per atom. Its total magnetic moment is 0.0 μB per cell.